(1)
The following is a DFT calculation (PBE) of crystalline Ge2PbI8 at its relaxed geometry.

Calculated values
Calculated volume: 595.9 Å³/cell
Electronic total energy: -2.621 eV per atom

Lattice parameters (Å, degrees): 7.3284 9.1981 9.1981 78.01 81.70 81.70
With the nearest neighbours (Å) after each atom.
Positions (direct):
Ge  0.6925  0.7861  0.7861  4 I 2.73-2.77
Ge  0.3075  0.2139  0.2139  4 I 2.73-2.77
Pb  0.0000  0.0000  0.0000  6 I 3.26-3.29
I  0.2284  0.2911  0.9252  1 Ge 2.73
I  0.7716  0.0748  0.7089  1 Ge 2.73
I  0.3153  0.8031  0.8031  1 Ge 2.73
I  0.6847  0.1969  0.1969  1 Ge 2.73
I  0.2284  0.9252  0.2911  1 Ge 2.73
I  0.7716  0.7089  0.0748  1 Ge 2.73
I  0.8831  0.5998  0.5998  1 Ge 2.77, 1 I 3.04
I  0.1169  0.4002  0.4002  1 Ge 2.77, 1 I 3.04

(2)
The following is a DFT calculation (PBE) of crystalline TaIrPt2 at its relaxed geometry.

Calculated values
Energy relative to the lowest polymorph listed for this composition: 0.00 eV/f.u.
Calculated volume: 62.7 Å³/cell
N(E_F): 0.18 states/eV/atom
Calculated formation energy: -632.7 meV per atom

Lattice parameters (Å, degrees): 4.0373 3.9408 3.9408 90.00 90.00 90.00
With the nearest neighbours (Å) after each atom.
Positions (direct):
Ir  0.5000  0.0000  0.5000  4 Ta 2.79, 8 Pt 2.82
Pt  0.0000  0.0000  0.0000  4 Pt 2.79, 4 Ta 2.82, 4 Ir 2.82
Pt  0.0000  0.5000  0.5000  4 Pt 2.79, 4 Ta 2.82, 4 Ir 2.82
Ta  0.5000  0.5000  0.0000  4 Ir 2.79, 8 Pt 2.82